Record 1
The following is a DFT calculation (PBE-GGA) of a geometry-optimized ZrTaPt2 structure.

ΔE_f (eV per atom): -0.6545
Final energy (eV for the cell shown): -35.10
SG: P4/mmm (123)
Density of states at the Fermi level (states/eV per atom): 0.898

a = 3.2562 Å, b = 3.2562 Å, c = 6.8776 Å
α = 90.00°, β = 90.00°, γ = 90.00°
Closest atoms and distances in Å follow each position.
Fractional positions:
Zr 0.5000 0.5000 0.7500  8 Pt 3.02, 4 Zr 3.26
Pt 0.0000 0.0000 0.0338  4 Ta 2.74, 1 Pt 2.97, 4 Zr 3.02
Pt 0.0000 0.0000 0.4662  4 Ta 2.74, 1 Pt 2.97, 4 Zr 3.02
Ta 0.5000 0.5000 0.2500  8 Pt 2.74

=====

Record 2
The following is a DFT calculation (PBE-GGA) of a geometry-optimized PmNdLuSn structure.

ΔE_f (eV per atom): -0.2590
Final energy (eV for the cell shown): -19.08
SG: F-43m (216)
Density of states at the Fermi level (states/eV per atom): 1.551

a = 5.4894 Å, b = 5.4894 Å, c = 5.4894 Å
α = 60.00°, β = 60.00°, γ = 60.00°
Closest atoms and distances in Å follow each position.
Fractional positions:
Sn 0.2500 0.2500 0.2500  4 Nd 3.36, 4 Pm 3.36
Lu 0.7500 0.7500 0.7500  4 Pm 3.36, 4 Nd 3.36
Nd 0.0000 0.0000 0.0000  4 Sn 3.36, 4 Lu 3.36
Pm 0.5000 0.5000 0.5000  4 Lu 3.36, 4 Sn 3.36

=====

Record 3
The following is a DFT calculation (PBE-GGA) of a geometry-optimized Pm4ScBi5 structure.

E above lowest polymorph (eV per formula unit): 0.03
ΔE_f (eV per atom): -0.8613
Final energy (eV for the cell shown): -53.35
SG: I4/mmm (139)
Density of states at the Fermi level (states/eV per atom): 0.135

a = 4.5347 Å, b = 4.5347 Å, c = 16.2663 Å
α = 98.01°, β = 98.01°, γ = 90.00°
Closest atoms and distances in Å follow each position.
Fractional positions:
Pm 0.5992 0.5992 0.1984  6 Bi 3.16-3.22
Pm 0.4008 0.4008 0.8016  6 Bi 3.16-3.22
Pm 0.1980 0.1980 0.3961  6 Bi 3.21-3.27
Pm 0.8020 0.8020 0.6039  6 Bi 3.21-3.27
Bi 0.0956 0.0956 0.1911  1 Sc 3.05, 5 Pm 3.21-3.27
Bi 0.5000 0.5000 0.0000  2 Pm 3.16, 4 Sc 3.21
Bi 0.7003 0.7003 0.4005  6 Pm 3.21-3.24
Bi 0.2997 0.2997 0.5995  6 Pm 3.21-3.24
Bi 0.9044 0.9044 0.8089  1 Sc 3.05, 5 Pm 3.21-3.27
Sc 0.0000 0.0000 0.0000  6 Bi 3.05-3.21

=====

Record 4
The following is a DFT calculation (PBE-GGA) of a geometry-optimized CaLaPb2 structure.

ΔE_f (eV per atom): 0.1412
Final energy (eV for the cell shown): -13.78
SG: Immm (71)
Density of states at the Fermi level (states/eV per atom): 1.306

a = 7.4345 Å, b = 7.4345 Å, c = 7.4345 Å
α = 152.07°, β = 58.30°, γ = 129.93°
Closest atoms and distances in Å follow each position.
Fractional positions:
Ca 0.0000 0.0000 0.0000  2 Pb 3.16
Pb 0.7568 0.0000 0.7568  1 Ca 3.16, 1 La 3.33
Pb 0.2432 0.0000 0.2432  1 Ca 3.16, 1 La 3.33
La 0.5000 0.0000 0.5000  2 Pb 3.33, 2 La 3.59, 4 Ca 3.62

=====

Record 5
The following is a DFT calculation (PBE-GGA) of a geometry-optimized MnSnSN2 structure.

E above lowest polymorph (eV per formula unit): 0.00
Final energy (eV for the cell shown): -31.50
Raw formation energy (kJ/mol of formula units): 236.6
SG: P4/mmm (123)
Density of states at the Fermi level (states/eV per atom): 0.745

a = 3.7367 Å, b = 3.7367 Å, c = 4.9457 Å
α = 90.00°, β = 90.00°, γ = 90.00°
Closest atoms and distances in Å follow each position.
Fractional positions:
N 0.0000 0.5000 0.0000  2 Mn 1.87
N 0.5000 0.0000 0.0000  2 Mn 1.87
Mn 0.0000 0.0000 0.0000  4 N 1.87
S 0.0000 0.0000 0.5000  2 Mn 2.47, 4 Sn 2.64
Sn 0.5000 0.5000 0.5000  4 S 2.64

=====

Record 6
The following is a DFT calculation (PBE-GGA) of a geometry-optimized Pm2RuPb structure.

E above lowest polymorph (eV per formula unit): 0.06
ΔE_f (eV per atom): -0.1848
Final energy (eV for the cell shown): -23.22
SG: R-3m (166)
Density of states at the Fermi level (states/eV per atom): 0.897

a = 3.7847 Å, b = 3.7847 Å, c = 9.3071 Å
α = 78.27°, β = 78.27°, γ = 60.00°
Closest atoms and distances in Å follow each position.
Fractional positions:
Ru 0.0000 0.0000 0.0000  6 Pm 2.84
Pm 0.7334 0.7334 0.7999  3 Ru 2.84
Pm 0.2666 0.2666 0.2001  3 Ru 2.84
Pb 0.5000 0.5000 0.5000  6 Pm 3.48, 6 Pb 3.78

=====

Record 7
The following is a DFT calculation (PBE-GGA) of a geometry-optimized CoTcSb2 structure.

E above lowest polymorph (eV per formula unit): 0.58
Final energy (eV for the cell shown): -24.71
Raw formation energy (kJ/mol of formula units): 96.9
SG: R-3m (166)
Density of states at the Fermi level (states/eV per atom): 0.956

a = 8.1009 Å, b = 8.1009 Å, c = 8.1009 Å
α = 22.96°, β = 22.96°, γ = 22.96°
Closest atoms and distances in Å follow each position.
Fractional positions:
Sb 0.0029 0.0029 0.0029  3 Co 2.66, 3 Tc 2.76
Sb 0.4971 0.4971 0.4971  3 Co 2.66, 3 Tc 2.76
Tc 0.2500 0.2500 0.2500  6 Sb 2.76
Co 0.7500 0.7500 0.7500  6 Sb 2.66

=====

Record 8
The following is a DFT calculation (PBE-GGA) of a geometry-optimized ZrCoP structure.

ΔE_f (eV per atom): -0.5190
Final energy (eV for the cell shown): -22.62
SG: I4mm (107)
Density of states at the Fermi level (states/eV per atom): 0.904

a = 5.3769 Å, b = 5.3769 Å, c = 2.9516 Å
α = 74.07°, β = 74.07°, γ = 31.86°
Closest atoms and distances in Å follow each position.
Fractional positions:
Zr 0.6691 0.6691 0.3309  5 P 2.86-2.99, 5 Co 2.91-2.92, 4 Zr 2.95
Co 0.9639 0.9639 0.0361  4 P 2.30
P 0.3670 0.3670 0.6330  4 Co 2.30

=====

Record 9
The following is a DFT calculation (PBE-GGA) of a geometry-optimized Sr4Se2SCl structure.

Final energy (eV for the cell shown): -35.53
Raw formation energy (kJ/mol of formula units): -1530.5
SG: P2/m (10)
Density of states at the Fermi level (states/eV per atom): 0.375

a = 4.3765 Å, b = 7.5154 Å, c = 7.5689 Å
α = 70.49°, β = 90.00°, γ = 90.00°
Closest atoms and distances in Å follow each position.
Fractional positions:
S 0.5000 0.5000 0.0000  6 Sr 3.04-3.05
Se 0.5000 0.0000 0.5000  6 Sr 3.12-3.13
Se 0.0000 0.0000 0.0000  6 Sr 3.04
Sr 0.0000 0.2534 0.2400  3 Se 3.04-3.13, 2 S 3.05, 1 Cl 3.12
Sr 0.0000 0.7466 0.7600  3 Se 3.04-3.13, 2 S 3.05, 1 Cl 3.12
Sr 0.5000 0.2462 0.7610  1 S 3.04, 3 Se 3.04-3.12, 2 Cl 3.13
Sr 0.5000 0.7538 0.2390  1 S 3.04, 3 Se 3.04-3.12, 2 Cl 3.13
Cl 0.0000 0.5000 0.5000  6 Sr 3.12-3.13

=====

Record 10
The following is a DFT calculation (PBE-GGA) of a geometry-optimized Th6IrPt3Rh2 structure.

ΔE_f (eV per atom): -1.0888
Final energy (eV for the cell shown): -99.27
SG: C2/m (12)
Density of states at the Fermi level (states/eV per atom): 0.506

a = 4.1566 Å, b = 8.3300 Å, c = 9.3141 Å
α = 103.29°, β = 102.89°, γ = 90.00°
Closest atoms and distances in Å follow each position.
Fractional positions:
Th 0.6645 0.0877 0.3290  1 Ir 2.90, 2 Rh 2.92, 3 Pt 2.97-2.98
Th 0.0019 0.2442 0.0038  2 Ir 2.90, 1 Rh 2.92, 3 Pt 2.98
Th 0.3355 0.9123 0.6710  1 Ir 2.90, 2 Rh 2.92, 3 Pt 2.97-2.98
Th 0.3314 0.4216 0.6628  3 Rh 2.90, 3 Pt 2.97-2.98
Th 0.9981 0.7558 0.9962  2 Ir 2.90, 1 Rh 2.92, 3 Pt 2.98
Th 0.6686 0.5784 0.3372  3 Rh 2.90, 3 Pt 2.97-2.98
Pt 0.8329 0.1673 0.6657  6 Th 2.97-2.98
Pt 0.1671 0.8327 0.3342  6 Th 2.97-2.98
Pt 0.5000 0.5000 0.0000  6 Th 2.98
Ir 0.5000 0.0000 0.0000  6 Th 2.90
Rh 0.8327 0.6655 0.6655  6 Th 2.90-2.92
Rh 0.1673 0.3345 0.3345  6 Th 2.90-2.92

=====

Record 11
The following is a DFT calculation (PBE-GGA) of a geometry-optimized Tb2PmPu structure.

E above lowest polymorph (eV per formula unit): 0.17
ΔE_f (eV per atom): 0.1448
Final energy (eV for the cell shown): -27.76
SG: P4/mmm (123)
Density of states at the Fermi level (states/eV per atom): 4.019

a = 5.0099 Å, b = 5.0059 Å, c = 5.0059 Å
α = 90.00°, β = 90.00°, γ = 90.00°
Closest atoms and distances in Å follow each position.
Fractional positions:
Tb 0.0000 0.0000 0.5000  4 Tb 3.54, 4 Pm 3.54, 4 Pu 3.54
Tb 0.0000 0.5000 0.0000  4 Tb 3.54, 4 Pm 3.54, 4 Pu 3.54
Pu 0.5000 0.0000 0.0000  4 Pm 3.54, 8 Tb 3.54
Pm 0.5000 0.5000 0.5000  4 Pu 3.54, 8 Tb 3.54

=====

Record 12
The following is a DFT calculation (PBE-GGA) of a geometry-optimized NaSi3Ge structure.

E above lowest polymorph (eV per formula unit): 0.00
Final energy (eV for the cell shown): -18.03
Raw formation energy (kJ/mol of formula units): 402.5
SG: Pm-3m (221)
Density of states at the Fermi level (states/eV per atom): 0.581

a = 4.8946 Å, b = 4.8946 Å, c = 4.8946 Å
α = 90.00°, β = 90.00°, γ = 90.00°
Closest atoms and distances in Å follow each position.
Fractional positions:
Si 0.0000 0.0000 0.5000  2 Ge 2.45
Si 0.0000 0.5000 0.0000  2 Ge 2.45
Si 0.5000 0.0000 0.0000  2 Ge 2.45
Ge 0.0000 0.0000 0.0000  6 Si 2.45
Na 0.5000 0.5000 0.5000  12 Si 3.46